Record 1
Computed, not measured: a geometry-optimized LuThNi2 structure at the GGA-PBE level of DFT.

The density of states at the Fermi level comes out at 3.63 states/eV/cell.

Cell: 4.819 4.819 3.404 Å, 90.00 90.00 90.00°
Space group P4/mmm (No. 123)
Inequivalent atoms, fractional coordinates:
Lu: 0.000 0.000 0.000 (multiplicity 1)
Th: 0.500 0.500 0.000 (multiplicity 1)
Ni: 0.000 0.500 0.500 (multiplicity 2)

Record 2
Computed, not measured: a geometry-optimized Lu2ThNi structure at the GGA-PBE level of DFT.

The density of states at the Fermi level comes out at 4.73 states/eV/cell.

Cell: 3.385 3.385 8.513 Å, 90.00 90.00 90.00°
Space group P4/mmm (No. 123)
Inequivalent atoms, fractional coordinates:
Lu: 0.000 0.000 0.186 (multiplicity 2)
Th: 0.500 0.500 0.500 (multiplicity 1)
Ni: 0.500 0.500 0.000 (multiplicity 1)

Record 3
Computed, not measured: a geometry-optimized Lu3ThNi structure at the GGA-PBE level of DFT.

The density of states at the Fermi level comes out at 5.50 states/eV/cell.

Cell: 5.171 5.171 5.171 Å, 90.00 90.00 90.00°
Space group Pm-3m (No. 221)
Inequivalent atoms, fractional coordinates:
Lu: 0.000 0.000 0.500 (multiplicity 3)
Th: 0.500 0.500 0.500 (multiplicity 1)
Ni: 0.000 0.000 0.000 (multiplicity 1)

Record 4
Computed, not measured: a geometry-optimized LuThNi2 structure at the GGA-PBE level of DFT.

The density of states at the Fermi level comes out at 7.71 states/eV/cell.

Cell: 6.829 6.829 6.829 Å, 90.00 90.00 90.00°
Space group Fm-3m (No. 225)
Inequivalent atoms, fractional coordinates:
Lu: 0.000 0.000 0.000 (multiplicity 4)
Th: 0.000 0.000 0.500 (multiplicity 4)
Ni: 0.250 0.250 0.250 (multiplicity 8)

Record 5
Computed, not measured: a geometry-optimized LuTiNi4 structure at the GGA-PBE level of DFT.

The density of states at the Fermi level comes out at 21.13 states/eV/cell.

Cell: 6.899 6.899 6.899 Å, 90.00 90.00 90.00°
Space group F-43m (No. 216)
Inequivalent atoms, fractional coordinates:
Lu: 0.000 0.000 0.000 (multiplicity 4)
Ti: 0.250 0.250 0.750 (multiplicity 4)
Ni: 0.125 0.125 0.375 (multiplicity 16)

Record 6
Computed, not measured: a geometry-optimized Lu2TiNi structure at the GGA-PBE level of DFT.

The density of states at the Fermi level comes out at 4.61 states/eV/cell.

Cell: 3.323 3.323 7.362 Å, 90.00 90.00 90.00°
Space group P4/mmm (No. 123)
Inequivalent atoms, fractional coordinates:
Lu: 0.000 0.000 0.219 (multiplicity 2)
Ti: 0.500 0.500 0.500 (multiplicity 1)
Ni: 0.500 0.500 0.000 (multiplicity 1)

Record 7
Computed, not measured: a geometry-optimized LuTiNi2 structure at the GGA-PBE level of DFT.

The density of states at the Fermi level comes out at 3.96 states/eV/cell.

Cell: 3.121 3.121 6.482 Å, 90.00 90.00 90.00°
Space group P4/mmm (No. 123)
Inequivalent atoms, fractional coordinates:
Lu: 0.000 0.000 0.000 (multiplicity 1)
Ti: 0.000 0.000 0.500 (multiplicity 1)
Ni: 0.500 0.500 0.295 (multiplicity 2)

Record 8
Computed, not measured: a geometry-optimized LuTiNi2 structure at the GGA-PBE level of DFT.

The density of states at the Fermi level comes out at 11.97 states/eV/cell.

Cell: 6.315 6.315 6.315 Å, 90.00 90.00 90.00°
Space group Fm-3m (No. 225)
Inequivalent atoms, fractional coordinates:
Lu: 0.000 0.000 0.000 (multiplicity 4)
Ti: 0.000 0.000 0.500 (multiplicity 4)
Ni: 0.250 0.250 0.250 (multiplicity 8)

Number 1: final energy -6.2558 eV per atom, total moment 0.0 μB/f.u.. Number 2: final energy -5.7688 eV per atom, total moment 0.0 μB/f.u.. Number 3: final energy -5.4109 eV per atom, total moment 0.0 μB/f.u.. Number 4: final energy -6.2666 eV per atom, total moment 0.0 μB/f.u.. Number 5: final energy -6.3246 eV per atom, total moment 0.0 μB/f.u.. Number 6: final energy -5.8011 eV per atom, total moment 0.1 μB/f.u.. Number 7: final energy -6.4047 eV per atom, total moment 0.0 μB/f.u.. Number 8: final energy -6.3295 eV per atom, total moment 0.0 μB/f.u..